Record 1
DFT (GGA-PBE) results for a geometry-optimized SrSm2F structure.

SG	No. 166
magnetic moment	0.0001	μB per atom
E_form (uncorrected)	-928	meV per atom

Cell lengths 9.910, 9.910, 9.910 Å; angles 22.32, 22.32, 22.32 degrees
Fractional positions:
Sr: 0.000 0.000 0.000
Sm: 0.121 0.121 0.121
Sm: 0.879 0.879 0.879
F: 0.500 0.500 0.500

=====

Record 2
DFT (GGA-PBE) results for a geometry-optimized FeRePb structure.

SG	No. 216
magnetic moment	0.0405	μB per atom
E_form	0.7937	eV per atom
energy above the lowest structure with this stoichiometry	113	meV/atom

Cell lengths 4.218, 4.218, 4.218 Å; angles 60.00, 60.00, 60.00 degrees
Fractional positions:
Fe: 0.000 0.000 0.000
Re: 0.250 0.250 0.250
Pb: 0.750 0.750 0.750

=====

Record 3
DFT (GGA-PBE) results for a geometry-optimized Cs6Mn3Cl14 structure.

SG	No. 143
magnetic moment	0.2999	μB per atom
E_form (uncorrected)	-1565	meV per atom

Cell lengths 12.223, 12.223, 7.074 Å; angles 90.00, 90.00, 120.00 degrees
Fractional positions:
Cs: 0.048 0.588 0.000
Cs: 0.283 0.077 0.482
Cs: 0.412 0.460 0.000
Cs: 0.540 0.952 0.000
Cs: 0.794 0.717 0.482
Cs: 0.923 0.206 0.482
Mn: 0.000 0.000 0.918
Mn: 0.333 0.667 0.432
Mn: 0.667 0.333 0.246
Cl: 0.000 0.000 0.251
Cl: 0.055 0.854 0.797
Cl: 0.146 0.201 0.797
Cl: 0.192 0.465 0.308
Cl: 0.273 0.808 0.308
Cl: 0.333 0.667 0.764
Cl: 0.491 0.216 0.059
Cl: 0.535 0.727 0.308
Cl: 0.549 0.390 0.432
Cl: 0.610 0.158 0.432
Cl: 0.725 0.509 0.059
Cl: 0.784 0.275 0.059
Cl: 0.799 0.945 0.797
Cl: 0.842 0.451 0.432

=====

Record 4
DFT (GGA-PBE) results for a geometry-optimized Dy7Ho2Sc2 structure.

SG	No. 65
magnetic moment	0.0000	μB per atom
E_form	0.3564	eV per atom
energy above the lowest structure with this stoichiometry	190	meV/atom

Cell lengths 6.671, 6.671, 9.338 Å; angles 90.00, 90.00, 121.88 degrees
Fractional positions:
Dy: 0.000 0.000 0.000
Dy: 0.000 0.500 0.307
Dy: 0.000 0.500 0.693
Dy: 0.500 0.000 0.307
Dy: 0.500 0.000 0.693
Dy: 0.500 0.500 0.181
Dy: 0.500 0.500 0.819
Ho: 0.250 0.250 0.500
Ho: 0.750 0.750 0.500
Sc: 0.270 0.730 0.000
Sc: 0.730 0.270 0.000

=====

Record 5
DFT (GGA-PBE) results for a geometry-optimized Pu2GaSi4Pd3 structure.

SG	No. 115
magnetic moment	1.0564	μB per atom
E_form (uncorrected)	-598	meV per atom

Cell lengths 4.177, 4.177, 10.158 Å; angles 90.00, 90.00, 90.00 degrees
Fractional positions:
Pu: 0.000 0.500 0.247
Pu: 0.500 0.000 0.753
Ga: 0.000 0.000 0.500
Si: 0.000 0.000 0.000
Si: 0.000 0.500 0.644
Si: 0.500 0.000 0.356
Si: 0.500 0.500 0.000
Pd: 0.000 0.500 0.879
Pd: 0.500 0.000 0.121
Pd: 0.500 0.500 0.500

=====

Record 6
DFT (GGA-PBE) results for a geometry-optimized ZnRu2Rh structure.

SG	No. 65
magnetic moment	0.2038	μB per atom
E_form	0.2740	eV per atom

Cell lengths 2.685, 2.685, 9.074 Å; angles 90.00, 90.00, 118.73 degrees
Fractional positions:
Zn: 0.000 0.000 0.000
Ru: 0.500 0.500 0.247
Ru: 0.500 0.500 0.753
Rh: 0.000 0.000 0.500